Entry 1:
# Pm5Sm3Tm3 (PBE, relaxed)
# E = -4.342 eV per atom
# energy above the most stable polymorph in this dataset = 0 meV/atom
# volume = 380.9 Å³/f.u.
data_Pm5Sm3Tm3
_symmetry_space_group_name_H-M 'P 1'
_symmetry_Int_Tables_number 1
_symmetry_space_group_name_Hall 'P 1'
_cell_length_a 11.2844
_cell_length_b 11.2844
_cell_length_c 3.4541
_cell_angle_alpha 90.00
_cell_angle_beta 90.00
_cell_angle_gamma 120.00
loop_
_atom_site_label
_atom_site_fract_x
_atom_site_fract_y
_atom_site_fract_z
_atom_site_occupancy
Pm1 0.0000 0.6629 0.0000 1
Pm2 0.3333 0.6667 0.0000 1
Pm3 0.3371 0.3371 0.0000 1
Pm4 0.6629 0.0000 0.0000 1
Pm5 0.6667 0.3333 0.0000 1
Sm1 0.0000 0.4034 0.5000 1
Sm2 0.4034 0.0000 0.5000 1
Sm3 0.5966 0.5966 0.5000 1
Tm1 0.0000 0.1590 0.0000 1
Tm2 0.1590 0.0000 0.0000 1
Tm3 0.8410 0.8410 0.0000 1

=====

Entry 2:
# PmSm10Tm4 (PBE, relaxed)
# E = -4.200 eV per atom
# volume = 528.1 Å³/f.u.
data_PmSm10Tm4
_symmetry_space_group_name_H-M 'P 1'
_symmetry_Int_Tables_number 1
_symmetry_space_group_name_Hall 'P 1'
_cell_length_a 8.8339
_cell_length_b 8.8339
_cell_length_c 8.8339
_cell_angle_alpha 111.84
_cell_angle_beta 111.84
_cell_angle_gamma 104.84
loop_
_atom_site_label
_atom_site_fract_x
_atom_site_fract_y
_atom_site_fract_z
_atom_site_occupancy
Pm1 0.0000 0.0000 0.0000 1
Sm1 0.0501 0.9450 0.6561 1
Sm2 0.0550 0.7111 0.1051 1
Sm3 0.2500 0.7500 0.5000 1
Sm4 0.2889 0.3941 0.3439 1
Sm5 0.3941 0.0501 0.1051 1
Sm6 0.6059 0.9499 0.8949 1
Sm7 0.7111 0.6059 0.6561 1
Sm8 0.7500 0.2500 0.5000 1
Sm9 0.9450 0.2889 0.8949 1
Sm10 0.9499 0.0550 0.3439 1
Tm1 0.2201 0.5560 0.7760 1
Tm2 0.4440 0.2201 0.6641 1
Tm3 0.5560 0.7799 0.3359 1
Tm4 0.7799 0.4440 0.2240 1

=====

Entry 3:
# Pm4Sm5Tm2 (PBE, relaxed)
# E = -4.608 eV per atom
# energy above the most stable polymorph in this dataset = 0 meV/atom
# volume = 368.8 Å³/f.u.
data_Pm4Sm5Tm2
_symmetry_space_group_name_H-M 'P 1'
_symmetry_Int_Tables_number 1
_symmetry_space_group_name_Hall 'P 1'
_cell_length_a 9.0473
_cell_length_b 9.0473
_cell_length_c 11.6975
_cell_angle_alpha 93.84
_cell_angle_beta 93.84
_cell_angle_gamma 22.71
loop_
_atom_site_label
_atom_site_fract_x
_atom_site_fract_y
_atom_site_fract_z
_atom_site_occupancy
Pm1 0.0379 0.0379 0.2618 1
Pm2 0.3587 0.3587 0.2046 1
Pm3 0.6413 0.6413 0.7954 1
Pm4 0.9621 0.9621 0.7382 1
Sm1 0.0975 0.0975 0.5371 1
Sm2 0.1780 0.1780 0.0725 1
Sm3 0.5000 0.5000 0.0000 1
Sm4 0.8220 0.8220 0.9275 1
Sm5 0.9025 0.9025 0.4629 1
Tm1 0.2846 0.2846 0.6442 1
Tm2 0.7154 0.7154 0.3558 1

=====

Repeat the first record exactly.
# Pm5Sm3Tm3 (PBE, relaxed)
# E = -4.342 eV per atom
# energy above the most stable polymorph in this dataset = 0 meV/atom
# volume = 380.9 Å³/f.u.
data_Pm5Sm3Tm3
_symmetry_space_group_name_H-M 'P 1'
_symmetry_Int_Tables_number 1
_symmetry_space_group_name_Hall 'P 1'
_cell_length_a 11.2844
_cell_length_b 11.2844
_cell_length_c 3.4541
_cell_angle_alpha 90.00
_cell_angle_beta 90.00
_cell_angle_gamma 120.00
loop_
_atom_site_label
_atom_site_fract_x
_atom_site_fract_y
_atom_site_fract_z
_atom_site_occupancy
Pm1 0.0000 0.6629 0.0000 1
Pm2 0.3333 0.6667 0.0000 1
Pm3 0.3371 0.3371 0.0000 1
Pm4 0.6629 0.0000 0.0000 1
Pm5 0.6667 0.3333 0.0000 1
Sm1 0.0000 0.4034 0.5000 1
Sm2 0.4034 0.0000 0.5000 1
Sm3 0.5966 0.5966 0.5000 1
Tm1 0.0000 0.1590 0.0000 1
Tm2 0.1590 0.0000 0.0000 1
Tm3 0.8410 0.8410 0.0000 1